No. 1
{"formula": "CsNbF3", "functional": "PBE-GGA", "state": "relaxed", "cell": [[4.5249, 0.0000, 0.0000], [0.0000, 4.5249, 0.0000], [0.0000, 0.0000, 4.5249]], "species": ["Cs", "Nb", "F", "F", "F"], "frac_coords": [[0.0000, 0.0000, 0.0000], [0.5000, 0.5000, 0.5000], [0.0000, 0.5000, 0.5000], [0.5000, 0.0000, 0.5000], [0.5000, 0.5000, 0.0000]], "total_magnetization_mub_per_atom": 0.60, "crystal_system": "cubic", "e_form_raw_kj_per_mol_atoms": -215.9, "sg": "Pm-3m (221)"}

No. 2
{"formula": "Cs3NbF7", "functional": "PBE-GGA", "state": "relaxed", "cell": [[4.6371, -4.5227, 0.0000], [4.6371, 4.5227, 0.0000], [-4.1913, 0.0000, 6.1343]], "species": ["Cs", "Cs", "Cs", "Nb", "F", "F", "F", "F", "F", "F", "F"], "frac_coords": [[0.0000, 0.0000, 0.0000], [0.2589, 0.7357, 0.4974], [0.7357, 0.2589, 0.4974], [0.5409, 0.5409, 0.0282], [0.2183, 0.5190, 0.7963], [0.3795, 0.3795, 0.1385], [0.4151, 0.8138, 0.2040], [0.5190, 0.2183, 0.7963], [0.6270, 0.6270, 0.8210], [0.8138, 0.4151, 0.2040], [0.8145, 0.8145, 0.2329]], "total_magnetization_mub_per_atom": 0.09, "crystal_system": "monoclinic", "e_form_raw_kj_per_mol_atoms": -279.9, "sg": "Cm (8)"}

No. 3
{"formula": "Cs2NbF", "functional": "PBE-GGA", "state": "relaxed", "cell": [[-4.3563, 4.3563, 4.9950], [4.3563, -4.3563, 4.9950], [4.3563, 4.3563, -4.9950]], "species": ["Cs", "Cs", "Cs", "Cs", "Nb", "Nb", "F", "F"], "frac_coords": [[0.0198, 0.1250, 0.3948], [0.3750, 0.9802, 0.1052], [0.7302, 0.6250, 0.6052], [0.8750, 0.2698, 0.8948], [0.2500, 0.7500, 0.5000], [0.5000, 0.5000, 0.0000], [0.0000, 0.0000, 0.0000], [0.7500, 0.2500, 0.5000]], "total_magnetization_mub_per_atom": 1.26, "crystal_system": "tetragonal", "e_form_raw_kj_per_mol_atoms": 1.0, "sg": "I-42d (122)", "relative_energy_ev_per_fu": 0.00}